#A
# PBE Cd3PdAu4, relaxed
# magnetic moment = 0.00 μB per formula unit
# density of states at the Fermi level = 0.280 states/eV/atom
data_Cd3PdAu4
_cell_length_a 9.728
_cell_length_b 6.090
_cell_length_c 5.011
_cell_angle_alpha 90.00
_cell_angle_beta 90.00
_cell_angle_gamma 90.00
_space_group_name_H-M_alt 'P m m a'
_space_group_IT_number 51
_space_group_name_Hall '-P 2a 2a'
loop_
_atom_site_label
_atom_site_type_symbol
_atom_site_fract_x
_atom_site_fract_y
_atom_site_fract_z
_atom_site_occupancy
Cd1 Cd 0.000 0.000 0.000 1
Cd2 Cd 0.250 0.000 0.371 1
Cd3 Cd 0.250 0.500 0.350 1
Pd1 Pd 0.000 0.500 0.000 1
Au1 Au 0.000 0.256 0.500 1
Au2 Au 0.250 0.255 0.860 1

#B
# PBE Cd3PdAu4, relaxed
# magnetic moment = 0.00 μB per formula unit
# density of states at the Fermi level = 0.271 states/eV/atom
data_Cd3PdAu4
_cell_length_a 16.994
_cell_length_b 4.244
_cell_length_c 4.242
_cell_angle_alpha 90.00
_cell_angle_beta 104.30
_cell_angle_gamma 90.00
_space_group_name_H-M_alt 'C 1 2/m 1'
_space_group_IT_number 12
_space_group_name_Hall '-C 2y'
loop_
_atom_site_label
_atom_site_type_symbol
_atom_site_fract_x
_atom_site_fract_y
_atom_site_fract_z
_atom_site_occupancy
Cd1 Cd 0.000 0.000 0.000 1
Cd2 Cd 0.247 0.500 0.747 1
Pd1 Pd 0.000 0.500 0.500 1
Au1 Au 0.123 0.000 0.622 1
Au2 Au 0.123 0.500 0.122 1

Tell me which of them is the least stable. Sure, it is #A.

#A
# PBE Cd2Pd5Au5, relaxed
# magnetic moment = 0.00 μB per formula unit
# density of states at the Fermi level = 0.397 states/eV/atom
data_Cd2Pd5Au5
_cell_length_a 12.160
_cell_length_b 4.141
_cell_length_c 9.098
_cell_angle_alpha 90.00
_cell_angle_beta 116.21
_cell_angle_gamma 90.00
_space_group_name_H-M_alt 'C 1 2/m 1'
_space_group_IT_number 12
_space_group_name_Hall '-C 2y'
loop_
_atom_site_label
_atom_site_type_symbol
_atom_site_fract_x
_atom_site_fract_y
_atom_site_fract_z
_atom_site_occupancy
Cd1 Cd 0.084 0.000 0.247 1
Pd1 Pd 0.000 0.000 0.500 1
Pd2 Pd 0.167 0.000 0.999 1
Pd3 Pd 0.249 0.500 0.249 1
Au1 Au 0.000 0.500 0.000 1
Au2 Au 0.089 0.500 0.754 1
Au3 Au 0.165 0.500 0.501 1

#B
# PBE Cd2Pd5Au5, relaxed
# magnetic moment = 0.00 μB per formula unit
# density of states at the Fermi level = 0.382 states/eV/atom
data_Cd2Pd5Au5
_cell_length_a 12.452
_cell_length_b 4.049
_cell_length_c 9.188
_cell_angle_alpha 90.00
_cell_angle_beta 117.52
_cell_angle_gamma 90.00
_space_group_name_H-M_alt 'C 1 2/m 1'
_space_group_IT_number 12
_space_group_name_Hall '-C 2y'
loop_
_atom_site_label
_atom_site_type_symbol
_atom_site_fract_x
_atom_site_fract_y
_atom_site_fract_z
_atom_site_occupancy
Cd1 Cd 0.082 0.000 0.253 1
Pd1 Pd 0.000 0.500 0.000 1
Pd2 Pd 0.085 0.500 0.749 1
Pd3 Pd 0.166 0.500 0.499 1
Au1 Au 0.000 0.000 0.500 1
Au2 Au 0.166 0.000 0.999 1
Au3 Au 0.249 0.000 0.746 1

Tell me which of them is the least stable. Sure, it is #A.

#A
# PBE Pm3Cd2Au, relaxed
# magnetic moment = 0.08 μB per formula unit
# density of states at the Fermi level = 0.982 states/eV/atom
data_Pm3Cd2Au
_cell_length_a 3.770
_cell_length_b 3.770
_cell_length_c 11.419
_cell_angle_alpha 90.00
_cell_angle_beta 90.00
_cell_angle_gamma 90.00
_space_group_name_H-M_alt 'P 4/m m m'
_space_group_IT_number 123
_space_group_name_Hall '-P 4 2'
loop_
_atom_site_label
_atom_site_type_symbol
_atom_site_fract_x
_atom_site_fract_y
_atom_site_fract_z
_atom_site_occupancy
Pm1 Pm 0.000 0.000 0.000 1
Pm2 Pm 0.000 0.000 0.345 1
Cd1 Cd 0.500 0.500 0.167 1
Au1 Au 0.500 0.500 0.500 1

#B
# PBE Pm3Cd2Au, relaxed
# magnetic moment = 0.09 μB per formula unit
# density of states at the Fermi level = 0.988 states/eV/atom
data_Pm3Cd2Au
_cell_length_a 5.3379
_cell_length_b 5.3379
_cell_length_c 6.5595
_cell_angle_alpha 90.00
_cell_angle_beta 90.00
_cell_angle_gamma 120.00
_space_group_name_H-M_alt 'P -3 m 1'
_space_group_IT_number 164
_space_group_name_Hall '-P 3 2"'
loop_
_atom_site_label
_atom_site_type_symbol
_atom_site_fract_x
_atom_site_fract_y
_atom_site_fract_z
_atom_site_occupancy
Pm1 Pm 0.0000 0.0000 0.0000 1
Pm2 Pm 0.3333 0.6667 0.6484 1
Cd1 Cd 0.3333 0.6667 0.1434 1
Au1 Au 0.0000 0.0000 0.5000 1

Tell me which of them is the least stable. Sure, it is #B.

#A
# PBE Pm3Cd2Au4, relaxed
# magnetic moment = 0.00 μB per formula unit
# density of states at the Fermi level = 0.626 states/eV/atom
data_Pm3Cd2Au4
_cell_length_a 10.013
_cell_length_b 4.656
_cell_length_c 9.431
_cell_angle_alpha 90.00
_cell_angle_beta 92.20
_cell_angle_gamma 90.00
_space_group_name_H-M_alt 'C 1 2/m 1'
_space_group_IT_number 12
_space_group_name_Hall '-C 2y'
loop_
_atom_site_label
_atom_site_type_symbol
_atom_site_fract_x
_atom_site_fract_y
_atom_site_fract_z
_atom_site_occupancy
Pm1 Pm 0.000 0.000 0.000 1
Pm2 Pm 0.136 0.500 0.614 1
Cd1 Cd 0.164 0.500 0.226 1
Au1 Au 0.068 0.000 0.371 1
Au2 Au 0.186 0.500 0.923 1

#B
# PBE Pm3Cd2Au4, relaxed
# magnetic moment = 0.00 μB per formula unit
# density of states at the Fermi level = 0.521 states/eV/atom
data_Pm3Cd2Au4
_cell_length_a 11.165
_cell_length_b 4.776
_cell_length_c 9.097
_cell_angle_alpha 90.00
_cell_angle_beta 118.28
_cell_angle_gamma 90.00
_space_group_name_H-M_alt 'C 1 2/m 1'
_space_group_IT_number 12
_space_group_name_Hall '-C 2y'
loop_
_atom_site_label
_atom_site_type_symbol
_atom_site_fract_x
_atom_site_fract_y
_atom_site_fract_z
_atom_site_occupancy
Pm1 Pm 0.000 0.000 0.000 1
Pm2 Pm 0.149 0.500 0.688 1
Cd1 Cd 0.145 0.500 0.313 1
Au1 Au 0.065 0.000 0.398 1
Au2 Au 0.221 0.500 0.062 1

Tell me which of them is the least stable. Sure, it is #A.

#A
# PBE PmCd3Au3, relaxed
# magnetic moment = 0.00 μB per formula unit
# density of states at the Fermi level = 0.728 states/eV/atom
data_PmCd3Au3
_cell_length_a 7.484
_cell_length_b 7.484
_cell_length_c 7.484
_cell_angle_alpha 90.00
_cell_angle_beta 90.00
_cell_angle_gamma 90.00
_space_group_name_H-M_alt 'P m -3 n'
_space_group_IT_number 223
_space_group_name_Hall '-P 4n 2 3'
loop_
_atom_site_label
_atom_site_type_symbol
_atom_site_fract_x
_atom_site_fract_y
_atom_site_fract_z
_atom_site_occupancy
Pm1 Pm 0.000 0.000 0.000 1
Cd1 Cd 0.000 0.250 0.500 1
Au1 Au 0.000 0.500 0.250 1

#B
# PBE PmCd3Au3, relaxed
# magnetic moment = 0.00 μB per formula unit
# density of states at the Fermi level = 0.337 states/eV/atom
data_PmCd3Au3
_cell_length_a 8.558
_cell_length_b 4.798
_cell_length_c 8.583
_cell_angle_alpha 90.00
_cell_angle_beta 119.89
_cell_angle_gamma 90.00
_space_group_name_H-M_alt 'P 1 21/m 1'
_space_group_IT_number 11
_space_group_name_Hall '-P 2yb'
loop_
_atom_site_label
_atom_site_type_symbol
_atom_site_fract_x
_atom_site_fract_y
_atom_site_fract_z
_atom_site_occupancy
Pm1 Pm 0.167 0.250 0.333 1
Cd1 Cd 0.270 0.250 0.991 1
Cd2 Cd 0.277 0.750 0.770 1
Cd3 Cd 0.493 0.750 0.223 1
Au1 Au 0.037 0.250 0.612 1
Au2 Au 0.112 0.750 0.075 1
Au3 Au 0.424 0.750 0.536 1

Tell me which of them is the least stable. Sure, it is #A.

#A
# PBE Pm2Cd2Au, relaxed
# magnetic moment = 0.00 μB per formula unit
# density of states at the Fermi level = 0.685 states/eV/atom
data_Pm2Cd2Au
_cell_length_a 3.611
_cell_length_b 21.145
_cell_length_c 3.514
_cell_angle_alpha 90.00
_cell_angle_beta 90.00
_cell_angle_gamma 90.00
_space_group_name_H-M_alt 'C m m m'
_space_group_IT_number 65
_space_group_name_Hall '-C 2 2'
loop_
_atom_site_label
_atom_site_type_symbol
_atom_site_fract_x
_atom_site_fract_y
_atom_site_fract_z
_atom_site_occupancy
Pm1 Pm 0.000 0.091 0.000 1
Cd1 Cd 0.000 0.304 0.500 1
Au1 Au 0.000 0.500 0.500 1

#B
# PBE Pm2Cd2Au, relaxed
# magnetic moment = 0.00 μB per formula unit
# density of states at the Fermi level = 0.886 states/eV/atom
data_Pm2Cd2Au
_cell_length_a 11.304
_cell_length_b 4.082
_cell_length_c 12.330
_cell_angle_alpha 90.00
_cell_angle_beta 110.69
_cell_angle_gamma 90.00
_space_group_name_H-M_alt 'C 1 2/m 1'
_space_group_IT_number 12
_space_group_name_Hall '-C 2y'
loop_
_atom_site_label
_atom_site_type_symbol
_atom_site_fract_x
_atom_site_fract_y
_atom_site_fract_z
_atom_site_occupancy
Pm1 Pm 0.012 0.000 0.177 1
Pm2 Pm 0.186 0.000 0.621 1
Cd1 Cd 0.046 0.500 0.399 1
Cd2 Cd 0.157 0.500 0.041 1
Au1 Au 0.193 0.500 0.806 1

Tell me which of them is the least stable. Sure, it is #A.

#A
# PBE PmCd4Au, relaxed
# magnetic moment = 0.00 μB per formula unit
# density of states at the Fermi level = 0.395 states/eV/atom
data_PmCd4Au
_cell_length_a 14.383
_cell_length_b 7.678
_cell_length_c 5.466
_cell_angle_alpha 90.00
_cell_angle_beta 105.37
_cell_angle_gamma 90.00
_space_group_name_H-M_alt 'C 1 2/m 1'
_space_group_IT_number 12
_space_group_name_Hall '-C 2y'
loop_
_atom_site_label
_atom_site_type_symbol
_atom_site_fract_x
_atom_site_fract_y
_atom_site_fract_z
_atom_site_occupancy
Pm1 Pm 0.210 0.000 0.146 1
Cd1 Cd 0.000 0.205 0.000 1
Cd2 Cd 0.125 0.187 0.572 1
Cd3 Cd 0.156 0.500 0.266 1
Au1 Au 0.068 0.500 0.747 1

#B
# PBE PmCd4Au, relaxed
# magnetic moment = 0.00 μB per formula unit
# density of states at the Fermi level = 0.458 states/eV/atom
data_PmCd4Au
_cell_length_a 8.497
_cell_length_b 4.344
_cell_length_c 7.693
_cell_angle_alpha 90.00
_cell_angle_beta 90.00
_cell_angle_gamma 90.00
_space_group_name_H-M_alt 'P m m a'
_space_group_IT_number 51
_space_group_name_Hall '-P 2a 2a'
loop_
_atom_site_label
_atom_site_type_symbol
_atom_site_fract_x
_atom_site_fract_y
_atom_site_fract_z
_atom_site_occupancy
Pm1 Pm 0.250 0.000 0.115 1
Cd1 Cd 0.000 0.000 0.500 1
Cd2 Cd 0.046 0.500 0.817 1
Cd3 Cd 0.250 0.500 0.435 1
Au1 Au 0.250 0.000 0.728 1

#C
# PBE PmCd4Au, relaxed
# magnetic moment = 0.00 μB per formula unit
# density of states at the Fermi level = 0.871 states/eV/atom
data_PmCd4Au
_cell_length_a 8.243
_cell_length_b 8.243
_cell_length_c 8.243
_cell_angle_alpha 90.00
_cell_angle_beta 90.00
_cell_angle_gamma 90.00
_space_group_name_H-M_alt 'F -4 3 m'
_space_group_IT_number 216
_space_group_name_Hall 'F -4 2 3'
loop_
_atom_site_label
_atom_site_type_symbol
_atom_site_fract_x
_atom_site_fract_y
_atom_site_fract_z
_atom_site_occupancy
Pm1 Pm 0.000 0.000 0.000 1
Cd1 Cd 0.125 0.125 0.375 1
Au1 Au 0.250 0.250 0.750 1

Tell me which of them is the least stable. Sure, it is #C.

#A
# PBE PmCd3Au2, relaxed
# magnetic moment = 0.00 μB per formula unit
# density of states at the Fermi level = 0.496 states/eV/atom
data_PmCd3Au2
_cell_length_a 17.205
_cell_length_b 4.364
_cell_length_c 7.890
_cell_angle_alpha 90.00
_cell_angle_beta 111.00
_cell_angle_gamma 90.00
_space_group_name_H-M_alt 'C 1 2/m 1'
_space_group_IT_number 12
_space_group_name_Hall '-C 2y'
loop_
_atom_site_label
_atom_site_type_symbol
_atom_site_fract_x
_atom_site_fract_y
_atom_site_fract_z
_atom_site_occupancy
Pm1 Pm 0.114 0.000 0.154 1
Cd1 Cd 0.067 0.000 0.670 1
Cd2 Cd 0.146 0.500 0.489 1
Cd3 Cd 0.188 0.500 0.898 1
Au1 Au 0.011 0.500 0.828 1
Au2 Au 0.244 0.000 0.713 1

#B
# PBE PmCd3Au2, relaxed
# magnetic moment = 0.00 μB per formula unit
# density of states at the Fermi level = 0.566 states/eV/atom
data_PmCd3Au2
_cell_length_a 14.869
_cell_length_b 4.607
_cell_length_c 9.114
_cell_angle_alpha 90.00
_cell_angle_beta 119.44
_cell_angle_gamma 90.00
_space_group_name_H-M_alt 'C 1 2/m 1'
_space_group_IT_number 12
_space_group_name_Hall '-C 2y'
loop_
_atom_site_label
_atom_site_type_symbol
_atom_site_fract_x
_atom_site_fract_y
_atom_site_fract_z
_atom_site_occupancy
Pm1 Pm 0.137 0.000 0.022 1
Cd1 Cd 0.056 0.000 0.384 1
Cd2 Cd 0.096 0.500 0.722 1
Cd3 Cd 0.209 0.500 0.538 1
Au1 Au 0.057 0.500 0.177 1
Au2 Au 0.224 0.000 0.764 1

Tell me which of them is the least stable. Sure, it is #B.

#A
# PBE PmCd2Au6, relaxed
# magnetic moment = 0.00 μB per formula unit
# density of states at the Fermi level = 0.390 states/eV/atom
data_PmCd2Au6
_cell_length_a 9.189
_cell_length_b 15.216
_cell_length_c 5.202
_cell_angle_alpha 90.00
_cell_angle_beta 90.24
_cell_angle_gamma 90.00
_space_group_name_H-M_alt 'C 1 2/c 1'
_space_group_IT_number 15
_space_group_name_Hall '-C 2yc'
loop_
_atom_site_label
_atom_site_type_symbol
_atom_site_fract_x
_atom_site_fract_y
_atom_site_fract_z
_atom_site_occupancy
Pm1 Pm 0.000 0.249 0.250 1
Cd1 Cd 0.249 0.411 0.501 1
Au1 Au 0.086 0.421 0.989 1
Au2 Au 0.088 0.078 0.987 1
Au3 Au 0.166 0.250 0.753 1

#B
# PBE PmCd2Au6, relaxed
# magnetic moment = 0.00 μB per formula unit
# density of states at the Fermi level = 0.465 states/eV/atom
data_PmCd2Au6
_cell_length_a 3.555
_cell_length_b 7.787
_cell_length_c 14.053
_cell_angle_alpha 90.00
_cell_angle_beta 90.00
_cell_angle_gamma 90.00
_space_group_name_H-M_alt 'I m m m'
_space_group_IT_number 71
_space_group_name_Hall '-I 2 2'
loop_
_atom_site_label
_atom_site_type_symbol
_atom_site_fract_x
_atom_site_fract_y
_atom_site_fract_z
_atom_site_occupancy
Pm1 Pm 0.000 0.000 0.000 1
Cd1 Cd 0.000 0.500 0.142 1
Au1 Au 0.000 0.179 0.500 1
Au2 Au 0.000 0.321 0.322 1

Tell me which of them is the least stable. Sure, it is #B.

#A
# PBE Pm2Cd5Au3, relaxed
# magnetic moment = 0.00 μB per formula unit
# density of states at the Fermi level = 0.557 states/eV/atom
data_Pm2Cd5Au3
_cell_length_a 4.454
_cell_length_b 27.298
_cell_length_c 7.748
_cell_angle_alpha 90.00
_cell_angle_beta 90.00
_cell_angle_gamma 90.00
_space_group_name_H-M_alt 'C m c 21'
_space_group_IT_number 36
_space_group_name_Hall 'C 2c -2'
loop_
_atom_site_label
_atom_site_type_symbol
_atom_site_fract_x
_atom_site_fract_y
_atom_site_fract_z
_atom_site_occupancy
Pm1 Pm 0.000 0.023 0.000 1
Pm2 Pm 0.000 0.321 0.884 1
Cd1 Cd 0.000 0.101 0.611 1
Cd2 Cd 0.000 0.204 0.687 1
Cd3 Cd 0.000 0.206 0.075 1
Cd4 Cd 0.000 0.373 0.448 1
Cd5 Cd 0.000 0.445 0.839 1
Au1 Au 0.000 0.113 0.227 1
Au2 Au 0.000 0.263 0.380 1
Au3 Au 0.000 0.458 0.216 1

#B
# PBE Pm2Cd5Au3, relaxed
# magnetic moment = 0.00 μB per formula unit
# density of states at the Fermi level = 0.528 states/eV/atom
data_Pm2Cd5Au3
_cell_length_a 6.075
_cell_length_b 8.972
_cell_length_c 8.973
_cell_angle_alpha 92.39
_cell_angle_beta 101.60
_cell_angle_gamma 101.64
_space_group_name_H-M_alt 'P -1'
_space_group_IT_number 2
_space_group_name_Hall '-P 1'
loop_
_atom_site_label
_atom_site_type_symbol
_atom_site_fract_x
_atom_site_fract_y
_atom_site_fract_z
_atom_site_occupancy
Pm1 Pm 0.172 0.385 0.390 1
Pm2 Pm 0.328 0.110 0.115 1
Cd1 Cd 0.010 0.747 0.260 1
Cd2 Cd 0.174 0.741 0.969 1
Cd3 Cd 0.250 0.027 0.473 1
Cd4 Cd 0.325 0.531 0.758 1
Cd5 Cd 0.490 0.240 0.753 1
Au1 Au 0.146 0.964 0.769 1
Au2 Au 0.251 0.444 0.056 1
Au3 Au 0.354 0.731 0.536 1

Tell me which of them is the least stable. Sure, it is #B.